A relaxed Sc3UTl3Te8 crystal. Source: the Alexandria database, functional GGA-PBE.

Unit cell a=14.739 b=8.508 c=9.554 alpha=90.00 beta=120.94 gamma=90.00
Space group C2/m (No. 12)
Symmetry-distinct sites (fractional):
Sc  0.000  0.000  0.000 (multiplicity 2)
Sc  0.250  0.250  0.000 (multiplicity 4)
U  0.000  0.500  0.000 (multiplicity 2)
Tl  0.000  0.500  0.500 (multiplicity 2)
Tl  0.250  0.250  0.500 (multiplicity 4)
Te  0.017  0.241  0.793 (multiplicity 8)
Te  0.235  0.000  0.202 (multiplicity 4)
Te  0.242  0.500  0.208 (multiplicity 4)

Formation energy from raw total energies   -0.865 eV/atom
Uncorrected energy   -151.0 eV for the cell shown



A relaxed Y8IrAu2 crystal. Source: the Alexandria database, functional GGA-PBE.

Unit cell a=17.601 b=5.134 c=6.812 alpha=90.00 beta=105.89 gamma=90.00
Space group C2/m (No. 12)
Symmetry-distinct sites (fractional):
Y  0.030  0.000  0.292 (multiplicity 4)
Y  0.089  0.500  0.935 (multiplicity 4)
Y  0.161  0.500  0.470 (multiplicity 4)
Y  0.203  0.000  0.817 (multiplicity 4)
Ir  0.000  0.500  0.500 (multiplicity 2)
Au  0.186  0.000  0.224 (multiplicity 4)

Energy relative to the lowest polymorph listed for this composition   0 meV/atom
Uncorrected energy   -145.6 eV for the cell shown
Energy relative to the elements   -0.514 eV/atom



A relaxed AlGaO3 crystal. Source: the Alexandria database, functional GGA-PBE.

Unit cell a=5.004 b=7.427 c=4.910 alpha=90.00 beta=90.00 gamma=90.00
Space group Pnma (No. 62)
Symmetry-distinct sites (fractional):
Al  0.000  0.000  0.000 (multiplicity 4)
Ga  0.038  0.250  0.491 (multiplicity 4)
O  0.083  0.750  0.129 (multiplicity 4)
O  0.183  0.570  0.678 (multiplicity 8)

Formation energy from raw total energies   -2.322 eV/atom
Uncorrected energy   -133.0 eV for the cell shown



A relaxed PmMnB2Ru crystal. Source: the Alexandria database, functional GGA-PBE.

Unit cell a=3.789 b=3.789 c=10.049 alpha=90.00 beta=90.00 gamma=90.00
Space group I-4m2 (No. 119)
Symmetry-distinct sites (fractional):
Pm  0.000  0.000  0.000 (multiplicity 2)
Mn  0.000  0.500  0.250 (multiplicity 2)
B  0.000  0.000  0.341 (multiplicity 4)
Ru  0.000  0.500  0.750 (multiplicity 2)

Uncorrected energy   -76.7 eV for the cell shown
Energy relative to the elements   -0.361 eV/atom



A relaxed Cd2PtO2 crystal. Source: the Alexandria database, functional GGA-PBE.

Unit cell a=6.648 b=6.648 c=3.149 alpha=90.00 beta=90.00 gamma=90.00
Space group P4/mbm (No. 127)
Symmetry-distinct sites (fractional):
Cd  0.157  0.343  0.000 (multiplicity 4)
Pt  0.000  0.000  0.500 (multiplicity 2)
O  0.152  0.652  0.500 (multiplicity 4)

Formation energy from raw total energies   -0.287 eV/atom
Energy relative to the lowest polymorph listed for this composition   231 meV/atom
Uncorrected energy   -38.4 eV for the cell shown



A relaxed La2YScH crystal. Source: the Alexandria database, functional GGA-PBE.

Unit cell a=5.184 b=5.184 c=4.804 alpha=90.00 beta=90.00 gamma=90.00
Space group P4/mmm (No. 123)
Symmetry-distinct sites (fractional):
La  0.000  0.500  0.000 (multiplicity 2)
Y  0.000  0.000  0.500 (multiplicity 1)
Sc  0.500  0.500  0.500 (multiplicity 1)
H  0.500  0.500  0.000 (multiplicity 1)

Energy relative to the lowest polymorph listed for this composition   0 meV/atom
Uncorrected energy   -26.7 eV for the cell shown



A relaxed HgRu2 crystal. Source: the Alexandria database, functional GGA-PBE.

Unit cell a=3.749 b=3.749 c=15.747 alpha=90.00 beta=90.00 gamma=90.00
Space group I4_1/amd (No. 141, origin choice 2)
Symmetry-distinct sites (fractional):
Hg  0.000  0.250  0.375 (multiplicity 4)
Ru  0.000  0.250  0.798 (multiplicity 8)

Energy relative to the lowest polymorph listed for this composition   544 meV/atom
Uncorrected energy   -65.1 eV for the cell shown
Energy relative to the elements   0.856 eV/atom



A relaxed Tm8GeSe6 crystal. Source: the Alexandria database, functional GGA-PBE.

Unit cell a=10.3175 b=10.3175 c=3.9627 alpha=90.00 beta=90.00 gamma=120.00
Space group P-3 (No. 147)
Symmetry-distinct sites (fractional):
Tm  0.0313  0.3031  0.2454 (multiplicity 6)
Tm  0.3333  0.6667  0.7521 (multiplicity 2)
Ge  0.0000  0.0000  0.0000 (multiplicity 1)
Se  0.1295  0.6500  0.2497 (multiplicity 6)

Formation energy from raw total energies   -1.225 eV/atom
Uncorrected energy   -79.7 eV for the cell shown



A relaxed AcTbSn2Pd5 crystal. Source: the Alexandria database, functional GGA-PBE.

Unit cell a=4.531 b=4.531 c=9.428 alpha=90.00 beta=90.00 gamma=90.00
Space group P4/mmm (No. 123)
Symmetry-distinct sites (fractional):
Ac  0.000  0.000  0.000 (multiplicity 1)
Tb  0.000  0.000  0.500 (multiplicity 1)
Sn  0.500  0.500  0.354 (multiplicity 2)
Pd  0.000  0.500  0.217 (multiplicity 4)
Pd  0.500  0.500  0.000 (multiplicity 1)

Uncorrected energy   -48.8 eV for the cell shown
Energy relative to the elements   -0.674 eV/atom



A relaxed Nd3UN4 crystal. Source: the Alexandria database, functional GGA-PBE.

Unit cell a=8.375 b=7.024 c=5.222 alpha=90.00 beta=90.00 gamma=90.00
Space group Pmn2_1 (No. 31)
Symmetry-distinct sites (fractional):
Nd  0.000  0.163  0.000 (multiplicity 2)
Nd  0.245  0.331  0.500 (multiplicity 4)
U  0.000  0.820  0.490 (multiplicity 2)
N  0.000  0.134  0.498 (multiplicity 2)
N  0.000  0.825  0.059 (multiplicity 2)
N  0.235  0.683  0.499 (multiplicity 4)

Formation energy from raw total energies   -1.266 eV/atom
Energy relative to the lowest polymorph listed for this composition   158 meV/atom
Uncorrected energy   -138.0 eV for the cell shown



A relaxed Nd5P4S crystal. Source: the Alexandria database, functional GGA-PBE.

Unit cell a=9.283 b=9.283 c=5.869 alpha=90.00 beta=90.00 gamma=90.00
Space group I4/m (No. 87)
Symmetry-distinct sites (fractional):
Nd  0.000  0.000  0.000 (multiplicity 2)
Nd  0.101  0.697  0.500 (multiplicity 8)
P  0.100  0.701  0.000 (multiplicity 8)
S  0.000  0.000  0.500 (multiplicity 2)

Formation energy from raw total energies   -1.688 eV/atom
Uncorrected energy   -133.0 eV for the cell shown



A relaxed Ta2FeTeAu crystal. Source: the Alexandria database, functional GGA-PBE.

Unit cell a=4.575 b=4.575 c=4.909 alpha=90.00 beta=90.00 gamma=90.00
Space group P4/mmm (No. 123)
Symmetry-distinct sites (fractional):
Ta  0.000  0.500  0.000 (multiplicity 2)
Fe  0.000  0.000  0.000 (multiplicity 1)
Te  0.500  0.500  0.500 (multiplicity 1)
Au  0.000  0.000  0.500 (multiplicity 1)

Formation energy from raw total energies   0.763 eV/atom
Uncorrected energy   -34.8 eV for the cell shown



What is the uncorrected energy in the second record? -145.6 eV for the cell shown



Which value of uncorrected energy does entry 11 give? -133.0 eV for the cell shown



Copy entry 5 word for word.
A relaxed Cd2PtO2 crystal. Source: the Alexandria database, functional GGA-PBE.

Unit cell a=6.648 b=6.648 c=3.149 alpha=90.00 beta=90.00 gamma=90.00
Space group P4/mbm (No. 127)
Symmetry-distinct sites (fractional):
Cd  0.157  0.343  0.000 (multiplicity 4)
Pt  0.000  0.000  0.500 (multiplicity 2)
O  0.152  0.652  0.500 (multiplicity 4)

Formation energy from raw total energies   -0.287 eV/atom
Energy relative to the lowest polymorph listed for this composition   231 meV/atom
Uncorrected energy   -38.4 eV for the cell shown